# 1
Here is crystalline Y3Ga3Fe2O12 at its relaxed geometry from Alexandria. Energies are from GGA+U.

## Properties
size of the total moment = 10.00 μB per formula unit
final energy = -0.2727 Ha/atom
N(E_F) = 0.0000 states/eV/atom

Cell: 12.4707 12.4707 12.4707 Å, 90.00 90.00 90.00°
Last column: nearest neighbours and their distance in Å.
Space group Ia-3d (No. 230)
Inequivalent atoms, fractional coordinates:
Y 0.0000 0.2500 0.1250  8 O 2.37-2.46
Ga 0.0000 0.2500 0.3750  4 O 1.87
Fe 0.0000 0.0000 0.0000  6 O 2.05
O 0.0274 0.0566 0.6516  1 Ga 1.87, 1 Fe 2.05



# 2
Here is crystalline YGaFeO4 at its relaxed geometry from Alexandria. Energies are from GGA+U.

## Properties
size of the total moment = 4.01 μB per formula unit
final energy = -0.2665 Ha/atom
N(E_F) = 0.0000 states/eV/atom

Cell: 6.1866 6.4941 8.8038 Å, 90.00 90.00 90.00°
Last column: nearest neighbours and their distance in Å.
Space group Imma (No. 74)
Inequivalent atoms, fractional coordinates:
Y 0.0000 0.0000 0.0000  6 O 2.26-2.27
Ga 0.0000 0.2500 0.3759  4 O 1.90-1.92
Fe 0.2500 0.2500 0.7500  6 O 2.16-2.25
O 0.0000 0.0007 0.2579  1 Ga 1.92
O 0.2470 0.2500 0.5041  1 Ga 1.90



# 3
Here is crystalline Zn2GaFeO4 at its relaxed geometry from Alexandria. Energies are from GGA+U.

## Properties
size of the total moment = 4.01 μB per formula unit
final energy = -0.1929 Ha/atom
N(E_F) = 0.0862 states/eV/atom

Cell: 6.7190 6.7254 9.1378 Å, 90.00 90.00 90.00°
Last column: nearest neighbours and their distance in Å.
Space group Fmm2 (No. 42)
Inequivalent atoms, fractional coordinates:
Zn 0.2500 0.2500 0.0000  4 O 2.06
Ga 0.0000 0.0000 0.2497  4 O 1.92
Fe 0.0000 0.0000 0.7505  4 O 2.08-2.09
O 0.0000 0.2355 0.3693  1 Ga 1.92, 2 Zn 2.06, 1 Fe 2.08
O 0.2358 0.0000 0.1302  1 Ga 1.92, 2 Zn 2.06, 1 Fe 2.09